Na5B9C: optimized geometry, PBE.

Values from the calculation:
energy	-144.7	eV/cell
V	333	Å³ per cell
offset from the most stable computed form	0.000	eV per atom
energy of formation	22.8	kJ per mole of atoms

The structure in POSCAR format:
```
Na5B9C
1.0
11.653 0.203 -2.637
11.264 2.994 -2.637
-0.379 -0.053 10.302
B Na C
18 10 2
direct
0.813 0.813 0.874
0.416 0.416 0.083
0.877 0.877 0.002
0.684 0.684 0.618
0.225 0.225 0.699
0.516 0.516 0.782
0.623 0.623 0.496
0.784 0.784 0.317
0.479 0.479 0.208
0.181 0.181 0.110
0.975 0.975 0.701
0.577 0.577 0.904
0.081 0.081 0.413
0.323 0.323 0.398
0.387 0.387 0.526
0.119 0.119 0.987
0.721 0.721 0.192
0.019 0.019 0.290
0.399 0.399 0.800
0.500 0.500 0.499
0.801 0.801 0.600
0.600 0.600 0.200
0.999 0.999 0.998
0.300 0.300 0.100
0.201 0.201 0.402
0.100 0.100 0.700
0.700 0.700 0.901
0.900 0.900 0.300
0.918 0.918 0.587
0.282 0.282 0.813
```

NaBC: optimized geometry, PBE.

Values from the calculation:
energy	-66.2	eV/cell
V	142	Å³ per cell
energy of formation	21.3	kJ per mole of atoms

The structure in POSCAR format:
```
NaBC
1.0
-4.215 -3.577 1.313
1.567 -1.066 2.125
-3.364 5.974 5.478
Na C B
4 4 4
direct
0.528 0.250 0.665
0.028 0.250 0.835
0.972 0.750 0.165
0.472 0.750 0.335
0.171 0.750 0.573
0.671 0.750 0.927
0.329 0.250 0.073
0.829 0.250 0.427
0.907 0.750 0.469
0.593 0.250 0.969
0.407 0.750 0.031
0.093 0.250 0.531
```

Na2B3C: optimized geometry, PBE.

Values from the calculation:
energy	-154.4	eV/cell
V	317	Å³ per cell
offset from the most stable computed form	0.037	eV per atom
energy of formation	16.4	kJ per mole of atoms

The structure in POSCAR format:
```
Na2B3C
1.0
7.292 0.045 -2.691
5.548 4.731 -2.691
0.378 0.141 9.112
Na B C
10 15 5
direct
0.401 0.399 0.997
0.001 0.999 0.999
0.699 0.701 0.500
0.197 0.202 0.999
0.101 0.099 0.503
0.899 0.900 0.499
0.600 0.601 0.001
0.298 0.303 0.501
0.799 0.801 0.000
0.501 0.499 0.501
0.321 0.962 0.251
0.117 0.795 0.249
0.229 0.868 0.750
0.632 0.271 0.750
0.681 0.008 0.751
0.705 0.383 0.251
0.492 0.819 0.749
0.181 0.520 0.248
0.248 0.638 0.750
0.538 0.179 0.249
0.980 0.319 0.252
0.567 0.933 0.250
0.919 0.581 0.250
0.862 0.252 0.750
0.087 0.413 0.750
0.018 0.672 0.751
0.387 0.710 0.251
0.790 0.113 0.249
0.423 0.077 0.750
0.828 0.482 0.749
```

Na2B3C: optimized geometry, PBE.

Values from the calculation:
energy	-123.0	eV/cell
V	252	Å³ per cell
offset from the most stable computed form	0.057	eV per atom
energy of formation	18.4	kJ per mole of atoms

The structure in POSCAR format:
```
Na2B3C
1.0
-2.913 -0.118 0.053
1.531 -2.247 -1.051
1.130 -13.884 31.321
C Na B
4 8 12
direct
0.667 0.333 0.690
0.333 0.667 0.812
0.667 0.333 0.439
0.667 0.333 0.934
0.000 0.000 0.377
0.000 0.000 0.873
0.000 0.000 0.123
0.000 0.000 0.751
0.000 0.000 0.501
0.000 0.000 0.996
0.000 0.000 0.628
0.000 0.000 0.251
0.333 0.667 0.314
0.667 0.333 0.564
0.333 0.667 0.060
0.333 0.667 0.439
0.333 0.667 0.564
0.333 0.667 0.935
0.667 0.333 0.060
0.667 0.333 0.812
0.667 0.333 0.314
0.333 0.667 0.690
0.333 0.667 0.187
0.667 0.333 0.187
```

Na5B8C2: optimized geometry, PBE.

Values from the calculation:
energy	-151.5	eV/cell
V	322	Å³ per cell
offset from the most stable computed form	0.011	eV per atom
energy of formation	17.5	kJ per mole of atoms

The structure in POSCAR format:
```
Na5B8C2
1.0
-2.916 -8.985 7.070
-1.130 -10.419 5.421
7.843 4.628 4.468
B C Na
16 4 10
direct
0.225 0.225 0.700
0.012 0.012 0.274
0.975 0.975 0.700
0.580 0.580 0.911
0.421 0.421 0.093
0.881 0.881 0.012
0.319 0.319 0.388
0.077 0.077 0.404
0.188 0.188 0.126
0.123 0.123 0.996
0.779 0.779 0.307
0.683 0.683 0.615
0.517 0.517 0.785
0.815 0.815 0.881
0.385 0.385 0.519
0.620 0.620 0.489
0.720 0.720 0.187
0.916 0.916 0.582
0.480 0.480 0.213
0.284 0.284 0.818
0.999 0.999 0.001
0.301 0.301 0.100
0.802 0.802 0.598
0.600 0.600 0.200
0.499 0.499 0.496
0.701 0.701 0.904
0.899 0.899 0.300
0.201 0.201 0.399
0.100 0.100 0.700
0.398 0.398 0.802
```

Na5B8C2: optimized geometry, PBE.

Values from the calculation:
energy	-151.8	eV/cell
V	322	Å³ per cell
offset from the most stable computed form	0.001	eV per atom
energy of formation	16.5	kJ per mole of atoms

The structure in POSCAR format:
```
Na5B8C2
1.0
-11.143 -1.838 -3.443
-11.463 -2.719 -0.786
0.371 9.621 3.234
B Na C
16 10 4
direct
0.191 0.191 0.132
0.875 0.875 0.002
0.125 0.125 0.998
0.416 0.416 0.083
0.628 0.628 0.504
0.977 0.977 0.704
0.480 0.480 0.210
0.023 0.023 0.296
0.372 0.372 0.496
0.914 0.914 0.579
0.584 0.584 0.917
0.783 0.783 0.316
0.217 0.217 0.684
0.520 0.520 0.790
0.086 0.086 0.421
0.809 0.809 0.868
0.398 0.398 0.799
0.101 0.101 0.703
0.701 0.701 0.902
0.799 0.799 0.600
0.201 0.201 0.400
0.602 0.602 0.201
0.299 0.299 0.098
0.500 0.500 0.500
0.899 0.899 0.297
0.000 0.000 0.000
0.313 0.313 0.379
0.687 0.687 0.621
0.278 0.278 0.807
0.722 0.722 0.193
```

Question: What is the energy in the fourth record?
Answer: -123.0 eV/cell